Record 1
A geometry-optimized La2PuRh9 structure, computed with PBE-GGA.

The calculation puts the total energy at -7.978 eV/atom. Its density of states at the Fermi level is 18.820 states/eV/cell. The calculation puts the density at 11.017 g/cm3.

a = 5.304 Å, b = 5.304 Å, c = 9.467 Å
α = 73.73°, β = 73.73°, γ = 60.00°
Last column: magnetic moment on the atom in μB.
Element x y z (fractional)
Rh  0.420  0.420  0.242  -0.06
Rh  0.420  0.919  0.242  -0.06
La  0.138  0.138  0.585  0.02
Rh  0.667  0.667  0.999  -0.28
Rh  0.500  0.500  0.500  -0.04
La  0.862  0.862  0.415  0.02
Rh  0.580  0.081  0.758  -0.06
Rh  0.333  0.333  0.001  -0.28
Rh  0.081  0.580  0.758  -0.06
Pu  0.000  0.000  0.000  5.01
Rh  0.580  0.580  0.758  -0.06
Rh  0.919  0.420  0.242  -0.06

---

Record 2
A geometry-optimized Li2MgSi structure, computed with PBE-GGA.

The calculation puts the total energy at -2.811 eV/atom. Its density of states at the Fermi level is 0.567 states/eV/cell. The calculation puts the density at 1.625 g/cm3.

a = 4.982 Å, b = 4.982 Å, c = 4.692 Å
α = 74.77°, β = 74.77°, γ = 37.24°
Element x y z (fractional)
Mg  0.750  0.750  0.750
Li  0.982  0.982  0.036
Li  0.518  0.518  0.464
Si  0.250  0.250  0.250